(1)
A relaxed PrPbAuS3 crystal. Source: the Open Quantum Materials Database, functional PBE.

## Properties
The spin magnetization is 0.001 μB/cell. The total energy is -119.5 eV per cell. The distance to the lowest polymorph of the same formula is 0.000 eV per atom.

Structure (CIF):
```
data_PrPbAuS3
_cell_length_a 4.0762
_cell_length_b 13.3300
_cell_length_c 10.7122
_cell_angle_alpha 90.00
_cell_angle_beta 90.00
_cell_angle_gamma 90.00
_symmetry_space_group_name_H-M 'C m c m'
_symmetry_Int_Tables_number 63
_symmetry_space_group_name_Hall '-C 2c 2'
loop_
_atom_site_label
_atom_site_type_symbol
_atom_site_fract_x
_atom_site_fract_y
_atom_site_fract_z
_atom_site_occupancy
Pr1 Pr 0.0000 0.0000 0.0000 1
Pb1 Pb 0.0000 0.2402 0.2500 1
Au1 Au 0.0000 0.4680 0.7500 1
S1 S 0.0000 0.0915 0.7500 1
S2 S 0.0000 0.3553 0.5637 1
```

=====

(2)
A relaxed PrPbAuSeS2 crystal. Source: the Open Quantum Materials Database, functional PBE.

## Properties
The spin magnetization is 0.006 μB/cell. The total energy is -116.8 eV per cell.

Structure (CIF):
```
data_PrPbAuSeS2
_cell_length_a 4.1031
_cell_length_b 13.5872
_cell_length_c 11.0214
_cell_angle_alpha 90.00
_cell_angle_beta 90.00
_cell_angle_gamma 90.00
_symmetry_space_group_name_H-M 'C m c m'
_symmetry_Int_Tables_number 63
_symmetry_space_group_name_Hall '-C 2c 2'
loop_
_atom_site_label
_atom_site_type_symbol
_atom_site_fract_x
_atom_site_fract_y
_atom_site_fract_z
_atom_site_occupancy
Pr1 Pr 0.0000 0.0000 0.0000 1
Pb1 Pb 0.0000 0.2280 0.2500 1
Au1 Au 0.0000 0.4655 0.7500 1
Se1 Se 0.0000 0.0980 0.7500 1
S1 S 0.0000 0.3596 0.5648 1
```

=====

(3)
A relaxed PrTe2PbAuS crystal. Source: the Open Quantum Materials Database, functional PBE.

## Properties
The spin magnetization is 0.008 μB/cell. The total energy is -107.7 eV per cell.

Structure (CIF):
```
data_PrTe2PbAuS
_cell_length_a 4.3548
_cell_length_b 14.7467
_cell_length_c 10.6671
_cell_angle_alpha 90.00
_cell_angle_beta 90.00
_cell_angle_gamma 90.00
_symmetry_space_group_name_H-M 'C m c m'
_symmetry_Int_Tables_number 63
_symmetry_space_group_name_Hall '-C 2c 2'
loop_
_atom_site_label
_atom_site_type_symbol
_atom_site_fract_x
_atom_site_fract_y
_atom_site_fract_z
_atom_site_occupancy
Pr1 Pr 0.0000 0.0000 0.0000 1
Te1 Te 0.0000 0.3454 0.0628 1
Pb1 Pb 0.0000 0.2698 0.7500 1
Au1 Au 0.0000 0.4779 0.2500 1
S1 S 0.0000 0.0784 0.2500 1
```

=====

(4)
A relaxed PrTePbAuS2 crystal. Source: the Open Quantum Materials Database, functional PBE.

## Properties
The spin magnetization is 0.006 μB/cell. The total energy is -113.8 eV per cell.

Structure (CIF):
```
data_PrTePbAuS2
_cell_length_a 4.1510
_cell_length_b 14.2587
_cell_length_c 11.3853
_cell_angle_alpha 90.00
_cell_angle_beta 90.00
_cell_angle_gamma 90.00
_symmetry_space_group_name_H-M 'C m c m'
_symmetry_Int_Tables_number 63
_symmetry_space_group_name_Hall '-C 2c 2'
loop_
_atom_site_label
_atom_site_type_symbol
_atom_site_fract_x
_atom_site_fract_y
_atom_site_fract_z
_atom_site_occupancy
Pr1 Pr 0.0000 0.0000 0.0000 1
Te1 Te 0.0000 0.1131 0.2500 1
Pb1 Pb 0.0000 0.2030 0.7500 1
Au1 Au 0.0000 0.4800 0.2500 1
S1 S 0.0000 0.3716 0.0725 1
```

=====

(5)
A relaxed PrPbAuSe3 crystal. Source: the Open Quantum Materials Database, functional PBE.

## Properties
The spin magnetization is 0.001 μB/cell. The total energy is -111.4 eV per cell. The distance to the lowest polymorph of the same formula is 0.000 eV per atom.

Structure (CIF):
```
data_PrPbAuSe3
_cell_length_a 4.1825
_cell_length_b 13.9762
_cell_length_c 11.0023
_cell_angle_alpha 90.00
_cell_angle_beta 90.00
_cell_angle_gamma 90.00
_symmetry_space_group_name_H-M 'C m c m'
_symmetry_Int_Tables_number 63
_symmetry_space_group_name_Hall '-C 2c 2'
loop_
_atom_site_label
_atom_site_type_symbol
_atom_site_fract_x
_atom_site_fract_y
_atom_site_fract_z
_atom_site_occupancy
Pr1 Pr 0.0000 0.0000 0.0000 1
Pb1 Pb 0.0000 0.2346 0.2500 1
Au1 Au 0.0000 0.4682 0.7500 1
Se1 Se 0.0000 0.0925 0.7500 1
Se2 Se 0.0000 0.3522 0.5622 1
```

=====

(6)
A relaxed PrPbAuSe3 crystal. Source: the Open Quantum Materials Database, functional PBE.

## Properties
The spin magnetization is 0.003 μB/cell. The total energy is -55.6 eV per cell. The distance to the lowest polymorph of the same formula is 0.012 eV per atom.

Structure (CIF):
```
data_PrPbAuSe3
_cell_length_a 7.9925
_cell_length_b 4.2239
_cell_length_c 10.3465
_cell_angle_alpha 90.00
_cell_angle_beta 106.26
_cell_angle_gamma 90.00
_symmetry_space_group_name_H-M 'P 1 21/m 1'
_symmetry_Int_Tables_number 11
loop_
_symmetry_equiv_pos_as_xyz
'x,y,z'
'-x,-y,-z'
'-x,y+1/2,-z'
'x,-y+1/2,z'
loop_
_atom_site_label
_atom_site_type_symbol
_atom_site_fract_x
_atom_site_fract_y
_atom_site_fract_z
_atom_site_occupancy
Pr1 Pr 0.1945 0.2500 0.1680 1
Pb1 Pb 0.2314 0.7500 0.6989 1
Au1 Au 0.3713 0.7500 0.4135 1
Se1 Se 0.0835 0.2500 0.8674 1
Se2 Se 0.1915 0.2500 0.4610 1
Se3 Se 0.4641 0.7500 0.1901 1
```

=====

(7)
A relaxed PrTePbAuSe2 crystal. Source: the Open Quantum Materials Database, functional PBE.

## Properties
The spin magnetization is 0.006 μB/cell. The total energy is -108.5 eV per cell.

Structure (CIF):
```
data_PrTePbAuSe2
_cell_length_a 4.2119
_cell_length_b 14.3999
_cell_length_c 11.3859
_cell_angle_alpha 90.00
_cell_angle_beta 90.00
_cell_angle_gamma 90.00
_symmetry_space_group_name_H-M 'C m c m'
_symmetry_Int_Tables_number 63
_symmetry_space_group_name_Hall '-C 2c 2'
loop_
_atom_site_label
_atom_site_type_symbol
_atom_site_fract_x
_atom_site_fract_y
_atom_site_fract_z
_atom_site_occupancy
Pr1 Pr 0.0000 0.0000 0.0000 1
Te1 Te 0.0000 0.1036 0.2500 1
Pb1 Pb 0.0000 0.2125 0.7500 1
Au1 Au 0.0000 0.4719 0.2500 1
Se1 Se 0.0000 0.3592 0.0645 1
```

=====

(8)
A relaxed Pt3Pb5Au crystal. Source: the Open Quantum Materials Database, functional PBE.

## Properties
The spin magnetization is 0.007 μB/cell. The total energy is -40.1 eV per cell.

Structure (CIF):
```
data_Pt3Pb5Au
_cell_length_a 5.5914
_cell_length_b 5.5914
_cell_length_c 8.3005
_cell_angle_alpha 90.00
_cell_angle_beta 90.00
_cell_angle_gamma 120.00
_symmetry_space_group_name_H-M 'P 6/m m m'
_symmetry_Int_Tables_number 191
_symmetry_space_group_name_Hall '-P 6 2'
loop_
_atom_site_label
_atom_site_type_symbol
_atom_site_fract_x
_atom_site_fract_y
_atom_site_fract_z
_atom_site_occupancy
Pt1 Pt 0.0000 0.5000 0.0000 1
Pb1 Pb 0.0000 0.0000 0.0000 1
Pb2 Pb 0.3333 0.6667 0.3050 1
Au1 Au 0.0000 0.0000 0.5000 1
```

=====

(9)
A relaxed Pt2PbAu crystal. Source: the Open Quantum Materials Database, functional PBE.

## Properties
The spin magnetization is 0.019 μB/cell. The total energy is -74.8 eV per cell.

Structure (CIF):
```
data_Pt2PbAu
_cell_length_a 6.6676
_cell_length_b 6.6676
_cell_length_c 6.6676
_cell_angle_alpha 90.00
_cell_angle_beta 90.00
_cell_angle_gamma 90.00
_symmetry_space_group_name_H-M 'F -4 3 m'
_symmetry_Int_Tables_number 216
_symmetry_space_group_name_Hall 'F -4 2 3'
loop_
_atom_site_label
_atom_site_type_symbol
_atom_site_fract_x
_atom_site_fract_y
_atom_site_fract_z
_atom_site_occupancy
Pt1 Pt 0.0000 0.0000 0.0000 1
Pt2 Pt 0.2500 0.2500 0.2500 1
Pb1 Pb 0.0000 0.0000 0.5000 1
Au1 Au 0.2500 0.2500 0.7500 1
```

=====

(10)
A relaxed RbPb2Au2 crystal. Source: the Open Quantum Materials Database, functional PBE.

## Properties
The total energy is -32.1 eV per cell. The distance to the lowest polymorph of the same formula is 0.000 eV per atom.

Structure (CIF):
```
data_RbPb2Au2
_cell_length_a 12.2822
_cell_length_b 4.8177
_cell_length_c 5.5577
_cell_angle_alpha 90.00
_cell_angle_beta 107.95
_cell_angle_gamma 90.00
_symmetry_space_group_name_H-M 'C 1 2/m 1'
_symmetry_Int_Tables_number 12
loop_
_symmetry_equiv_pos_as_xyz
'x,y,z'
'-x,-y,-z'
'-x,y,-z'
'x,-y,z'
'x+1/2,y+1/2,z'
'-x+1/2,-y+1/2,-z'
'-x+1/2,y+1/2,-z'
'x+1/2,-y+1/2,z'
loop_
_atom_site_label
_atom_site_type_symbol
_atom_site_fract_x
_atom_site_fract_y
_atom_site_fract_z
_atom_site_occupancy
Rb1 Rb 0.0000 0.0000 0.0000 1
Pb1 Pb 0.1552 0.5000 0.5743 1
Au1 Au 0.2460 0.5000 0.1447 1
```

=====

(11)
A relaxed Rb4Pb2Au7 crystal. Source: the Open Quantum Materials Database, functional PBE.

## Properties
The total energy is -113.1 eV per cell.

Structure (CIF):
```
data_Rb4Pb2Au7
_cell_length_a 6.9679
_cell_length_b 6.9679
_cell_length_c 30.1589
_cell_angle_alpha 90.00
_cell_angle_beta 90.00
_cell_angle_gamma 120.00
_symmetry_space_group_name_H-M 'R -3 m'
_symmetry_Int_Tables_number 166
_symmetry_space_group_name_Hall '-R 3 2"'
loop_
_atom_site_label
_atom_site_type_symbol
_atom_site_fract_x
_atom_site_fract_y
_atom_site_fract_z
_atom_site_occupancy
Rb1 Rb 0.0000 0.0000 0.1839 1
Rb2 Rb 0.0000 0.0000 0.3131 1
Pb1 Pb 0.0000 0.0000 0.0503 1
Au1 Au 0.0000 0.0000 0.5000 1
Au2 Au 0.0644 0.5322 0.2412 1
```

=====

(12)
A relaxed Rb3PbAu5 crystal. Source: the Open Quantum Materials Database, functional PBE.

## Properties
The total energy is -102.0 eV per cell.

Structure (CIF):
```
data_Rb3PbAu5
_cell_length_a 5.8439
_cell_length_b 20.0945
_cell_length_c 8.7176
_cell_angle_alpha 90.00
_cell_angle_beta 90.00
_cell_angle_gamma 90.00
_symmetry_space_group_name_H-M 'I m m a'
_symmetry_Int_Tables_number 74
_symmetry_space_group_name_Hall '-I 2b 2'
loop_
_atom_site_label
_atom_site_type_symbol
_atom_site_fract_x
_atom_site_fract_y
_atom_site_fract_z
_atom_site_occupancy
Rb1 Rb 0.0000 0.0853 0.1223 1
Rb2 Rb 0.0000 0.2500 0.8761 1
Pb1 Pb 0.0000 0.2500 0.3355 1
Au1 Au 0.0000 0.0000 0.5000 1
Au2 Au 0.0000 0.1438 0.5388 1
Au3 Au 0.2500 0.0677 0.7500 1
```

=====

Repeat the fourth record exactly.
A relaxed PrTePbAuS2 crystal. Source: the Open Quantum Materials Database, functional PBE.

## Properties
The spin magnetization is 0.006 μB/cell. The total energy is -113.8 eV per cell.

Structure (CIF):
```
data_PrTePbAuS2
_cell_length_a 4.1510
_cell_length_b 14.2587
_cell_length_c 11.3853
_cell_angle_alpha 90.00
_cell_angle_beta 90.00
_cell_angle_gamma 90.00
_symmetry_space_group_name_H-M 'C m c m'
_symmetry_Int_Tables_number 63
_symmetry_space_group_name_Hall '-C 2c 2'
loop_
_atom_site_label
_atom_site_type_symbol
_atom_site_fract_x
_atom_site_fract_y
_atom_site_fract_z
_atom_site_occupancy
Pr1 Pr 0.0000 0.0000 0.0000 1
Te1 Te 0.0000 0.1131 0.2500 1
Pb1 Pb 0.0000 0.2030 0.7500 1
Au1 Au 0.0000 0.4800 0.2500 1
S1 S 0.0000 0.3716 0.0725 1
```